# 1
A relaxed LiZn2BO4 crystal. Source: the Alexandria database, functional PBE.

The structure in POSCAR format:
```
LiZn2BO4
1.0
-1.594 3.206 -2.695
-4.055 -0.463 1.851
3.747 1.360 3.125
O Li Zn B
4 1 2 1
Cartesian
-0.390 2.699 1.967 O
-2.144 2.671 -0.753 O
-3.117 1.220 1.046 O
1.846 1.614 2.301 O
0.000 0.001 0.001 Li
-0.336 2.969 0.004 Zn
-1.566 1.134 2.277 Zn
-2.824 1.371 -0.422 B
```

Values from the calculation:
Uncorrected energy = -5.748 eV per atom
Crystal system = tetragonal
Raw formation energy = -1.88 eV/atom

# 2
A relaxed LiZnBO3 crystal. Source: the Alexandria database, functional PBE.

The structure in POSCAR format:
```
LiZnBO3
1.0
-4.174 -2.730 -2.044
-1.514 -4.567 2.630
-7.046 7.386 6.615
Zn Li O B
4 4 12 4
Cartesian
-7.388 -2.649 2.288 Zn
-3.333 -0.649 1.288 Zn
-7.322 6.336 6.249 Zn
-9.027 -0.471 4.067 Zn
-6.866 0.933 2.095 Li
-8.011 2.256 4.412 Li
-2.746 -2.964 3.005 Li
-9.678 3.816 6.454 Li
-7.911 3.396 5.929 O
-4.054 -2.406 -0.939 O
-8.230 -1.551 5.557 O
-4.803 -5.866 1.002 O
-6.773 -1.273 5.660 O
-3.264 -4.177 1.524 O
-5.116 0.380 5.318 O
-3.373 1.852 3.302 O
-7.157 0.418 3.969 O
-3.430 -1.244 3.022 O
-9.747 1.293 4.085 O
-6.475 -3.136 4.059 O
-4.235 -5.000 1.962 B
-6.334 -0.038 4.895 B
-4.422 2.028 2.501 B
-6.917 4.277 6.062 B
```

Values from the calculation:
Uncorrected energy = -5.610 eV per atom
Offset from the most stable computed form = 587 meV/atom
Crystal system = triclinic
Raw formation energy = -1.49 eV/atom

# 3
A relaxed Li2BOs4 crystal. Source: the Alexandria database, functional PBE.

The structure in POSCAR format:
```
Li2BOs4
1.0
-1.664 3.478 -1.111
0.854 -0.817 -3.834
-5.830 -1.460 -3.087
Li B Os
2 1 4
Cartesian
-4.767 0.625 -5.393 Li
-1.872 0.576 -2.639 Li
0.000 0.000 0.000 B
-0.832 1.739 -0.556 Os
-2.597 1.742 -5.148 Os
0.427 -0.408 -1.917 Os
-4.043 -0.541 -2.884 Os
```

Values from the calculation:
Uncorrected energy = -7.053 eV per atom
Crystal system = tetragonal

# 4
A relaxed LiBOs3 crystal. Source: the Alexandria database, functional PBE.

The structure in POSCAR format:
```
LiBOs3
1.0
4.075 0.000 0.000
0.000 4.075 0.000
0.000 0.000 4.075
Os Li B
3 1 1
Cartesian
0.000 0.000 2.038 Os
2.038 0.000 0.000 Os
0.000 2.038 0.000 Os
2.038 2.038 2.038 Li
0.000 0.000 0.000 B
```

Values from the calculation:
Uncorrected energy = -7.966 eV per atom
Offset from the most stable computed form = 0 meV/atom
Crystal system = cubic

# 5
A relaxed LiBOs3 crystal. Source: the Alexandria database, functional PBE.

The structure in POSCAR format:
```
LiBOs3
1.0
4.032 0.000 0.000
0.000 4.032 0.000
0.000 0.000 4.032
Os Li B
3 1 1
Cartesian
0.000 0.000 2.016 Os
2.016 0.000 0.000 Os
0.000 2.016 0.000 Os
0.000 0.000 0.000 Li
2.016 2.016 2.016 B
```

Values from the calculation:
Uncorrected energy = -6.274 eV per atom
Offset from the most stable computed form = 1691 meV/atom
Crystal system = cubic

# 6
A relaxed LiBOs crystal. Source: the Alexandria database, functional PBE.

The structure in POSCAR format:
```
LiBOs
1.0
2.914 0.000 0.000
0.000 2.914 0.000
-1.457 -1.457 4.646
Os Li B
1 1 1
Cartesian
0.000 0.000 2.560 Os
1.457 1.457 4.570 Li
1.457 1.457 2.162 B
```

Values from the calculation:
Uncorrected energy = -6.654 eV per atom
Crystal system = tetragonal

# 7
A relaxed Li2BOsPb crystal. Source: the Alexandria database, functional PBE.

The structure in POSCAR format:
```
Li2BOsPb
1.0
-1.450 3.864 0.348
-3.550 -1.572 2.664
2.302 0.558 3.397
B Li Pb Os
1 2 1 1
Cartesian
0.000 0.000 0.000 B
-0.725 1.932 0.174 Li
1.151 0.279 1.699 Li
-1.775 -0.786 1.332 Pb
-1.349 1.425 3.205 Os
```

Values from the calculation:
Uncorrected energy = -3.906 eV per atom
Crystal system = tetragonal

# 8
A relaxed RbLi2BOs crystal. Source: the Alexandria database, functional PBE.

The structure in POSCAR format:
```
RbLi2BOs
1.0
-4.174 0.422 -2.065
2.382 -0.553 -4.929
-0.586 -4.633 0.237
Os Rb Li B
1 1 2 1
Cartesian
-1.189 -2.382 -3.378 Os
1.191 -0.277 -2.465 Rb
-0.293 -2.317 0.119 Li
-2.087 0.211 -1.032 Li
0.000 0.000 0.000 B
```

Values from the calculation:
Uncorrected energy = -2.711 eV per atom
Crystal system = tetragonal